--- A ---
Entry from the Alexandria database: Ni2HPdAu after structural relaxation (PBE).

Properties
- total magnetization (Bohr magnetons per cell) = 0.90
- DOS at the Fermi energy (states/eV per atom) = 1.118
- SG = P4/mmm, No. 123

a = 3.853 Å, b = 3.853 Å, c = 3.922 Å
α = 90.00°, β = 90.00°, γ = 90.00°
Site moments in Bohr magnetons follow the coordinates.
Atoms (fractional coordinates):
Ni (0.000, 0.500, 0.000)  0.38
Ni (0.500, 0.000, 0.000)  0.38
Au (0.000, 0.000, 0.500)  0.00
Pd (0.500, 0.500, 0.500)  0.17
H (0.000, 0.000, 0.000)  0.00

***

--- B ---
Entry from the Alexandria database: Ni2HPdAu after structural relaxation (PBE).

Properties
- total magnetization (Bohr magnetons per cell) = 1.02
- DOS at the Fermi energy (states/eV per atom) = 1.423
- SG = P4/mmm, No. 123

a = 3.899 Å, b = 3.899 Å, c = 3.805 Å
α = 90.00°, β = 90.00°, γ = 90.00°
Site moments in Bohr magnetons follow the coordinates.
Atoms (fractional coordinates):
Ni (0.000, 0.500, 0.000)  0.46
Ni (0.500, 0.000, 0.000)  0.46
Au (0.500, 0.500, 0.500)  0.04
Pd (0.000, 0.000, 0.500)  0.09
H (0.000, 0.000, 0.000)  0.00

***

The winner here is B, beating the second structure by 103 meV/atom.